Entry 1:
Density functional theory data (PBE-GGA) for a geometry-optimized CuAgI2N structure.

Unit cell a=5.850 b=5.850 c=3.897 alpha=90.00 beta=90.00 gamma=90.00
Space group P4/mmm (No. 123)
Inequivalent atoms, fractional coordinates:
Cu  0.000  0.000  0.000 x1
Ag  0.500  0.500  0.500 x1
I  0.000  0.500  0.500 x2
N  0.500  0.500  0.000 x1

* DOS at the Fermi energy: 6.329 states/eV/cell
* energy relative to the lowest polymorph listed for this composition: 530 meV/atom

---

Entry 2:
Density functional theory data (PBE-GGA) for a geometry-optimized CuAgIN2 structure.

Unit cell a=3.902 b=3.902 c=7.132 alpha=90.00 beta=90.00 gamma=90.00
Space group P4/mmm (No. 123)
Inequivalent atoms, fractional coordinates:
Cu  0.000  0.000  0.000 x1
Ag  0.500  0.500  0.500 x1
I  0.000  0.000  0.500 x1
N  0.000  0.500  0.000 x2

* DOS at the Fermi energy: 1.430 states/eV/cell
* energy relative to the lowest polymorph listed for this composition: 0 meV/atom

---

Entry 3:
Density functional theory data (PBE-GGA) for a geometry-optimized CuAgI2N structure.

Unit cell a=5.691 b=5.691 c=3.690 alpha=90.00 beta=90.00 gamma=90.00
Space group P4/mmm (No. 123)
Inequivalent atoms, fractional coordinates:
Cu  0.000  0.000  0.000 x1
Ag  0.500  0.500  0.500 x1
I  0.000  0.500  0.000 x2
N  0.000  0.000  0.500 x1

* DOS at the Fermi energy: 2.083 states/eV/cell
* energy relative to the lowest polymorph listed for this composition: 0 meV/atom

---

Entry 4:
Density functional theory data (PBE-GGA) for a geometry-optimized CuAgIN2 structure.

Unit cell a=3.957 b=3.957 c=7.645 alpha=90.00 beta=90.00 gamma=90.00
Space group P4/mmm (No. 123)
Inequivalent atoms, fractional coordinates:
Cu  0.000  0.000  0.000 x1
Ag  0.500  0.500  0.500 x1
I  0.500  0.500  0.000 x1
N  0.000  0.500  0.500 x2

* DOS at the Fermi energy: 4.972 states/eV/cell
* energy relative to the lowest polymorph listed for this composition: 442 meV/atom

---

Entry 5:
Density functional theory data (PBE-GGA) for a geometry-optimized Na2CuAgI4 structure.

Unit cell a=9.330 b=8.332 c=7.847 alpha=90.00 beta=90.00 gamma=90.00
Space group Pmn2_1 (No. 31)
Inequivalent atoms, fractional coordinates:
Na  0.249  0.185  0.000 x4
Cu  0.000  0.667  0.987 x2
Ag  0.000  0.336  0.485 x2
I  0.000  0.379  0.850 x2
I  0.000  0.645  0.323 x2
I  0.235  0.824  0.895 x4

* total DFT energy (no corrections): -2.665 eV/atom
* DOS at the Fermi energy: 0.000 states/eV/cell

---

Entry 6:
Density functional theory data (PBE-GGA) for a geometry-optimized NbCuAgI2 structure.

Unit cell a=5.499 b=5.499 c=4.947 alpha=90.00 beta=90.00 gamma=90.00
Space group P4/mmm (No. 123)
Inequivalent atoms, fractional coordinates:
Nb  0.000  0.000  0.000 x1
Cu  0.000  0.000  0.500 x1
Ag  0.500  0.500  0.500 x1
I  0.000  0.500  0.000 x2

* total DFT energy (no corrections): -3.310 eV/atom
* DOS at the Fermi energy: 4.574 states/eV/cell

---

Entry 7:
Density functional theory data (PBE-GGA) for a geometry-optimized NpCu2AgI8 structure.

Unit cell a=9.700 b=9.700 c=9.416 alpha=90.00 beta=90.00 gamma=90.00
Space group I-4m2 (No. 119)
Inequivalent atoms, fractional coordinates:
Np  0.000  0.000  0.000 x2
Cu  0.000  0.000  0.500 x2
Cu  0.000  0.500  0.250 x2
Ag  0.000  0.500  0.750 x2
I  0.000  0.188  0.699 x8
I  0.000  0.304  0.067 x8

* total DFT energy (no corrections): -3.346 eV/atom
* DOS at the Fermi energy: 29.136 states/eV/cell

---

Entry 8:
Density functional theory data (PBE-GGA) for a geometry-optimized NpCuAgI6 structure.

Unit cell a=7.232 b=7.232 c=12.818 alpha=90.00 beta=90.00 gamma=90.00
Space group P4_2nm (No. 102)
Inequivalent atoms, fractional coordinates:
Np  0.000  0.000  0.000 x2
Cu  0.000  0.000  0.700 x2
Ag  0.000  0.000  0.322 x2
I  0.201  0.201  0.826 x4
I  0.202  0.202  0.502 x4
I  0.214  0.214  0.162 x4

* total DFT energy (no corrections): -3.676 eV/atom
* DOS at the Fermi energy: 14.254 states/eV/cell

---

Entry 9:
Density functional theory data (PBE-GGA) for a geometry-optimized CuAgIO2 structure.

Unit cell a=3.940 b=3.940 c=7.167 alpha=90.00 beta=90.00 gamma=90.00
Space group P4/mmm (No. 123)
Inequivalent atoms, fractional coordinates:
Cu  0.000  0.000  0.000 x1
Ag  0.500  0.500  0.500 x1
I  0.500  0.500  0.000 x1
O  0.000  0.500  0.500 x2

* DOS at the Fermi energy: 2.892 states/eV/cell
* energy relative to the lowest polymorph listed for this composition: 298 meV/atom

---

Entry 10:
Density functional theory data (PBE-GGA) for a geometry-optimized CuAgIO2 structure.

Unit cell a=3.868 b=3.868 c=6.662 alpha=90.00 beta=90.00 gamma=90.00
Space group P4/mmm (No. 123)
Inequivalent atoms, fractional coordinates:
Cu  0.000  0.000  0.000 x1
Ag  0.500  0.500  0.500 x1
I  0.000  0.000  0.500 x1
O  0.000  0.500  0.000 x2

* DOS at the Fermi energy: 5.826 states/eV/cell
* energy relative to the lowest polymorph listed for this composition: 0 meV/atom

---

Entry 11:
Density functional theory data (PBE-GGA) for a geometry-optimized Cu2AgIO6 structure.

Unit cell a=10.519 b=8.919 c=5.782 alpha=90.00 beta=99.86 gamma=90.00
Space group C2/c (No. 15)
Inequivalent atoms, fractional coordinates:
Cu  0.239  0.084  0.387 x8
Ag  0.000  0.113  0.750 x4
I  0.000  0.290  0.250 x4
O  0.109  0.141  0.121 x8
O  0.129  0.220  0.535 x8
O  0.169  0.474  0.310 x8

* total DFT energy (no corrections): -4.472 eV/atom
* DOS at the Fermi energy: 25.711 states/eV/cell

---

Entry 12:
Density functional theory data (PBE-GGA) for a geometry-optimized Cu2AgPbI6 structure.

Unit cell a=14.582 b=13.688 c=7.517 alpha=90.00 beta=102.33 gamma=90.00
Space group C2/c (No. 15)
Inequivalent atoms, fractional coordinates:
Cu  0.184  0.081  0.289 x8
Ag  0.000  0.183  0.750 x4
Pb  0.000  0.400  0.250 x4
I  0.119  0.232  0.093 x8
I  0.128  0.413  0.657 x8
I  0.145  0.081  0.611 x8

* total DFT energy (no corrections): -2.680 eV/atom
* DOS at the Fermi energy: 41.136 states/eV/cell

---

Entry 13:
Density functional theory data (PBE-GGA) for a geometry-optimized Cu2AgPdI6 structure.

Unit cell a=15.885 b=12.002 c=8.090 alpha=90.00 beta=116.21 gamma=90.00
Space group C2/c (No. 15)
Inequivalent atoms, fractional coordinates:
Cu  0.191  0.104  0.173 x8
Ag  0.000  0.418  0.250 x4
Pd  0.000  0.332  0.750 x4
I  0.126  0.357  0.622 x8
I  0.133  0.310  0.094 x8
I  0.142  0.046  0.428 x8

* total DFT energy (no corrections): -2.664 eV/atom
* DOS at the Fermi energy: 41.299 states/eV/cell

---

Entry 14:
Density functional theory data (PBE-GGA) for a geometry-optimized RbCuAg2I4 structure.

Unit cell a=10.134 b=7.922 c=7.881 alpha=90.00 beta=90.00 gamma=90.00
Space group Pmn2_1 (No. 31)
Inequivalent atoms, fractional coordinates:
Rb  0.000  0.170  0.000 x2
Cu  0.000  0.813  0.491 x2
Ag  0.249  0.334  0.482 x4
I  0.000  0.145  0.458 x2
I  0.000  0.749  0.820 x2
I  0.201  0.663  0.342 x4

* total DFT energy (no corrections): -2.629 eV/atom

---

Entry 15:
Density functional theory data (PBE-GGA) for a geometry-optimized Rb3Cu2AgI8 structure.

Unit cell a=8.0985 b=8.0985 c=10.3756 alpha=90.00 beta=90.00 gamma=120.00
Space group P-3m1 (No. 164)
Inequivalent atoms, fractional coordinates:
Rb  0.0000  0.0000  0.0000 x1
Rb  0.3333  0.6667  0.6174 x2
Cu  0.3333  0.6667  0.2070 x2
Ag  0.0000  0.0000  0.5000 x1
I  0.1652  0.3303  0.3193 x6
I  0.3333  0.6667  0.9669 x2

* total DFT energy (no corrections): -2.565 eV/atom
* DOS at the Fermi energy: 11.703 states/eV/cell

---

Entry 16:
Density functional theory data (PBE-GGA) for a geometry-optimized RbCuAgI2 structure.

Unit cell a=5.740 b=5.740 c=6.535 alpha=90.00 beta=90.00 gamma=90.00
Space group P4/mmm (No. 123)
Inequivalent atoms, fractional coordinates:
Rb  0.000  0.000  0.000 x1
Cu  0.500  0.500  0.000 x1
Ag  0.000  0.000  0.500 x1
I  0.000  0.500  0.500 x2

* total DFT energy (no corrections): -2.027 eV/atom
* DOS at the Fermi energy: 1.240 states/eV/cell

---

Entry 17:
Density functional theory data (PBE-GGA) for a geometry-optimized RbCu4Ag3I12 structure.

Unit cell a=15.1910 b=15.1910 c=11.9875 alpha=90.00 beta=90.00 gamma=120.00
Space group R32 (No. 155, hexagonal axes)
Inequivalent atoms, fractional coordinates:
Rb  0.0000  0.0000  0.0000 x3
Cu  0.0000  0.0000  0.5000 x3
Cu  0.0000  0.4201  0.5000 x9
Ag  0.0000  0.5691  0.0000 x9
I  0.0000  0.5878  0.5000 x9
I  0.0000  0.8341  0.5000 x9
I  0.0465  0.2038  0.2065 x18

* total DFT energy (no corrections): -2.441 eV/atom
* DOS at the Fermi energy: 45.549 states/eV/cell

---

Entry 18:
Density functional theory data (PBE-GGA) for a geometry-optimized Rb3CuAg2I6 structure.

Unit cell a=8.6934 b=8.6934 c=9.3389 alpha=90.00 beta=90.00 gamma=120.00
Space group P-3m1 (No. 164)
Inequivalent atoms, fractional coordinates:
Rb  0.0000  0.0000  0.0000 x1
Rb  0.3333  0.6667  0.6401 x2
Cu  0.0000  0.0000  0.5000 x1
Ag  0.3333  0.6667  0.2652 x2
I  0.1526  0.3052  0.3069 x6

* total DFT energy (no corrections): -2.544 eV/atom

---

Entry 19:
Density functional theory data (PBE-GGA) for a geometry-optimized RbCuAgI4 structure.

Unit cell a=7.238 b=7.438 c=11.271 alpha=90.00 beta=103.51 gamma=90.00
Space group P2_1/m (No. 11)
Inequivalent atoms, fractional coordinates:
Rb  0.221  0.250  0.044 x2
Cu  0.201  0.750  0.302 x2
Ag  0.319  0.250  0.704 x2
I  0.041  0.510  0.729 x4
I  0.346  0.750  0.089 x2
I  0.487  0.750  0.483 x2

* total DFT energy (no corrections): -2.529 eV/atom
* DOS at the Fermi energy: 8.064 states/eV/cell

---

Entry 20:
Density functional theory data (PBE-GGA) for a geometry-optimized CuAg2SI structure.

Unit cell a=5.170 b=5.170 c=4.337 alpha=90.00 beta=90.00 gamma=90.00
Space group P4/mmm (No. 123)
Inequivalent atoms, fractional coordinates:
Cu  0.000  0.000  0.000 x1
Ag  0.000  0.500  0.500 x2
S  0.000  0.000  0.500 x1
I  0.500  0.500  0.000 x1

* total DFT energy (no corrections): -3.107 eV/atom

---

Entry 21:
Density functional theory data (PBE-GGA) for a geometry-optimized CuAgSb2I structure.

Unit cell a=5.380 b=5.380 c=5.694 alpha=90.00 beta=90.00 gamma=90.00
Space group P4/mmm (No. 123)
Inequivalent atoms, fractional coordinates:
Cu  0.000  0.000  0.000 x1
Ag  0.500  0.500  0.500 x1
Sb  0.000  0.500  0.500 x2
I  0.500  0.500  0.000 x1

* DOS at the Fermi energy: 6.257 states/eV/cell
* energy relative to the lowest polymorph listed for this composition: 357 meV/atom